## i
The following is a GGA-PBE calculation of a geometry-optimized Be2CoW structure, from the Alexandria database.

Properties
M_tot   0.0 μB/cell
Density of states at the Fermi level   5.83 states/eV/cell

Unit cell a=2.6323 b=4.3166 c=7.9381 alpha=90.00 beta=90.00 gamma=90.00
With the nearest neighbours (Å) after each atom.
Space group Immm (No. 71)
Asymmetric unit:
1 Be 0.0000 0.0000 0.2288 (multiplicity 4)  2 Co 2.24
2 Co 0.0000 0.5000 0.5000 (multiplicity 2)  4 Be 2.24
3 W 0.0000 0.5000 0.0000 (multiplicity 2)  8 Be 2.52-2.82, 4 Co 2.53, 2 W 2.63

=====

## ii
The following is a GGA-PBE calculation of a geometry-optimized Be2CoW structure, from the Alexandria database.

Properties
M_tot   0.0 μB/cell
Density of states at the Fermi level   0.83 states/eV/cell

Unit cell a=2.6796 b=2.6796 c=5.9008 alpha=90.00 beta=90.00 gamma=90.00
With the nearest neighbours (Å) after each atom.
Space group P4mm (No. 99)
Asymmetric unit:
1 Be 0.0000 0.0000 0.0000 (multiplicity 1)  4 Be 2.24, 1 Co 2.39
2 Be 0.5000 0.5000 0.2012 (multiplicity 1)  4 Be 2.24, 4 Co 2.24
3 Co 0.0000 0.0000 0.4045 (multiplicity 1)  5 Be 2.24-2.39
4 W 0.5000 0.5000 0.7036 (multiplicity 1)  4 Be 2.58, 4 Co 2.59, 4 W 2.68

=====

## iii
The following is a GGA-PBE calculation of a geometry-optimized Be2CoW structure, from the Alexandria database.

Properties
M_tot   0.0 μB/cell
Density of states at the Fermi level   5.63 states/eV/cell

Unit cell a=4.9128 b=7.4355 c=2.5427 alpha=90.00 beta=104.81 gamma=90.00
With the nearest neighbours (Å) after each atom.
Space group C2/m (No. 12)
Asymmetric unit:
1 Be 0.2500 0.2500 0.0000 (multiplicity 4)  2 W 2.40, 2 Co 2.40, 4 Be 2.46-2.54
2 Co 0.0000 0.0000 0.5000 (multiplicity 2)  4 Be 2.40, 2 W 2.46, 2 Co 2.54
3 W 0.0000 0.5000 0.5000 (multiplicity 2)  4 Be 2.40, 2 Co 2.46, 2 W 2.54

=====

The structure shown above that is most stable: ii.